Record 1
LiScZnSn: optimized geometry, PBE.

POSCAR file:
```
LiScZnSn
1.0
4.016 0.000 0.000
0.000 4.327 0.000
0.000 0.000 4.412
Li Sc Zn Sn
1 1 1 1
direct
0.000 0.000 0.000 Li
0.000 0.500 0.500 Sc
0.500 0.500 0.000 Zn
0.500 0.000 0.500 Sn
```

Energy ... -3.79 eV per atom
Symmetry ... Pmmm (47)
DFT formation energy ... -0.414 eV per atom
ΔE to the lowest computed polymorph ... 0.0 meV/atom
M_tot ... 0.0000 μB/atom

***

Record 2
CoTe4Au: optimized geometry, PBE.

POSCAR file:
```
CoTe4Au
1.0
0.000 4.416 4.416
4.416 0.000 4.416
4.416 4.416 0.000
Co Te Au
1 4 1
direct
0.000 0.000 0.000 Co
0.126 0.625 0.625 Te
0.625 0.126 0.625 Te
0.625 0.625 0.126 Te
0.625 0.625 0.625 Te
0.250 0.250 0.250 Au
```

Energy ... -2.82 eV per atom
Symmetry ... F-43m (216)
ΔE to the lowest computed polymorph ... 1126.7 meV/atom
M_tot ... 0.4089 μB/atom
Formation energy (no corrections) ... 1.0002 eV/atom

***

Record 3
Ac2CdAg2: optimized geometry, PBE.

POSCAR file:
```
Ac2CdAg2
1.0
8.334 0.000 0.000
0.000 8.334 0.000
0.000 0.000 4.338
Ac Cd Ag
4 2 4
direct
0.177 0.323 0.000 Ac
0.323 0.823 0.000 Ac
0.677 0.177 0.000 Ac
0.823 0.677 0.000 Ac
0.000 0.000 0.500 Cd
0.500 0.500 0.500 Cd
0.123 0.623 0.500 Ag
0.377 0.123 0.500 Ag
0.623 0.877 0.500 Ag
0.877 0.377 0.500 Ag
```

Energy ... -3.26 eV per atom
Symmetry ... P4/mbm (127)
DFT formation energy ... -0.296 eV per atom
M_tot ... 0.0000 μB/atom